A plane-wave DFT calculation with PBE was carried out for a relaxed BaW3S crystal.

As for the distance to the lowest polymorph of the same formula: 14.43 eV/f.u. The calculation puts the uncorrected formation energy at 1997 kJ/mol of formula units. The spin magnetization is 0.000 μB/atom. As for the density of states at the Fermi level: 11.1 states/eV/cell. Its uncorrected energy is -4.84 eV/atom.

The space group is Pm-3m (No. 221) and the conventional cell measures 5.0422, 5.0422 and 5.0422 Å, with angles of 90.00, 90.00 and 90.00 degrees. The asymmetric unit holds Ba at (0.0000, 0.0000, 0.0000), W at (0.0000, 0.0000, 0.5000) and S at (0.5000, 0.5000, 0.5000).